Here is crystalline ScCo3Ru at its relaxed geometry from Alexandria via LeMat-Bulk. Energies are from GGA-PBE.

Results
Energy above the most stable polymorph in this dataset = 0.0 meV/atom
DOS(E_F) = 5.83 states/eV/f.u.
Space-group type = No. 221

a = 4.4570 Å, b = 4.4570 Å, c = 4.4570 Å
α = 90.00°, β = 90.00°, γ = 90.00°
Closest atoms and distances in Å follow each position.
Element x y z (fractional)
Sc 0.0000 0.0000 0.0000  12 Co 3.15
Co 0.0000 0.5000 0.5000  2 Ru 2.23
Co 0.5000 0.0000 0.5000  2 Ru 2.23
Co 0.5000 0.5000 0.0000  2 Ru 2.23
Ru 0.5000 0.5000 0.5000  6 Co 2.23

Here is crystalline Sc4CoRu at its relaxed geometry from Alexandria via LeMat-Bulk. Energies are from GGA-PBE.

Results
Energy above the most stable polymorph in this dataset = 135.2 meV/atom
DOS(E_F) = 4.22 states/eV/f.u.
Space-group type = No. 12

a = 6.2717 Å, b = 6.2717 Å, c = 6.2578 Å
α = 90.00°, β = 90.11°, γ = 90.00°
Closest atoms and distances in Å follow each position.
Element x y z (fractional)
Sc 0.2497 0.2502 0.2462  2 Co 2.70, 2 Ru 2.73
Sc 0.2503 0.2498 0.7538  2 Co 2.70, 2 Ru 2.73
Sc 0.2497 0.7498 0.2462  2 Co 2.70, 2 Ru 2.73
Sc 0.2503 0.7502 0.7538  2 Co 2.70, 2 Ru 2.73
Sc 0.7497 0.2498 0.2462  2 Co 2.70, 2 Ru 2.73
Sc 0.7503 0.2502 0.7538  2 Co 2.70, 2 Ru 2.73
Sc 0.7497 0.7502 0.2462  2 Co 2.70, 2 Ru 2.73
Sc 0.7503 0.7498 0.7538  2 Co 2.70, 2 Ru 2.73
Co 0.0000 0.0000 0.0000  8 Sc 2.70
Co 0.5000 0.5000 0.0000  8 Sc 2.70
Ru 0.0000 0.5000 0.5000  8 Sc 2.73
Ru 0.5000 0.0000 0.5000  8 Sc 2.73

Here is crystalline Sc3CoRu at its relaxed geometry from Alexandria via LeMat-Bulk. Energies are from GGA-PBE.

Results
Energy above the most stable polymorph in this dataset = 162.4 meV/atom
DOS(E_F) = 4.65 states/eV/f.u.
Space-group type = No. 221

a = 4.9132 Å, b = 4.9132 Å, c = 4.9132 Å
α = 90.00°, β = 90.00°, γ = 90.00°
Closest atoms and distances in Å follow each position.
Element x y z (fractional)
Sc 0.0000 0.0000 0.5000  2 Ru 2.46
Sc 0.0000 0.5000 0.0000  2 Ru 2.46
Sc 0.5000 0.0000 0.0000  2 Ru 2.46
Co 0.5000 0.5000 0.5000  12 Sc 3.47
Ru 0.0000 0.0000 0.0000  6 Sc 2.46

Here is crystalline ScCoRu3 at its relaxed geometry from Alexandria via LeMat-Bulk. Energies are from GGA-PBE.

Results
Energy above the most stable polymorph in this dataset = 0.0 meV/atom
DOS(E_F) = 7.64 states/eV/f.u.
Space-group type = No. 221

a = 4.4385 Å, b = 4.4385 Å, c = 4.4385 Å
α = 90.00°, β = 90.00°, γ = 90.00°
Closest atoms and distances in Å follow each position.
Element x y z (fractional)
Sc 0.0000 0.0000 0.0000  12 Ru 3.14
Co 0.5000 0.5000 0.5000  6 Ru 2.22
Ru 0.0000 0.5000 0.5000  2 Co 2.22
Ru 0.5000 0.0000 0.5000  2 Co 2.22
Ru 0.5000 0.5000 0.0000  2 Co 2.22

Here is crystalline Sc6Co2Ru at its relaxed geometry from Alexandria via LeMat-Bulk. Energies are from GGA-PBE.

Results
DOS(E_F) = 9.30 states/eV/f.u.
Space-group type = No. 71
Total DFT energy (no corrections) = -7.160 eV/atom

a = 7.6020 Å, b = 7.6020 Å, c = 7.6020 Å
α = 110.44°, β = 109.41°, γ = 108.56°
Closest atoms and distances in Å follow each position.
Element x y z (fractional)
Sc 0.0217 0.8264 0.1954  3 Co 2.50-2.66
Sc 0.2580 0.3220 0.5800  3 Co 2.70-2.84, 1 Ru 2.74
Sc 0.2580 0.6780 0.9360  3 Co 2.70-2.84, 1 Ru 2.74
Sc 0.2620 0.5710 0.3090  2 Ru 2.68-2.85, 2 Co 2.69-2.87
Sc 0.2620 0.9529 0.6910  2 Ru 2.68-2.85, 2 Co 2.69-2.87
Sc 0.3690 0.1736 0.1954  3 Co 2.50-2.66
Sc 0.6310 0.8264 0.8046  3 Co 2.50-2.66
Sc 0.7380 0.0471 0.3090  2 Ru 2.68-2.85, 2 Co 2.69-2.87
Sc 0.7380 0.4290 0.6910  2 Ru 2.68-2.85, 2 Co 2.69-2.87
Sc 0.7420 0.3220 0.0640  3 Co 2.70-2.84, 1 Ru 2.74
Sc 0.7420 0.6780 0.4200  3 Co 2.70-2.84, 1 Ru 2.74
Sc 0.9783 0.1736 0.8046  3 Co 2.50-2.66
Co 0.0000 0.1534 0.1534  1 Co 2.66, 8 Sc 2.66-2.70
Co 0.0000 0.8466 0.8466  1 Co 2.66, 8 Sc 2.66-2.70
Co 0.3788 0.3788 0.0000  1 Co 2.15
Co 0.6212 0.6212 0.0000  1 Co 2.15
Ru 0.0000 0.5000 0.5000  8 Sc 2.74-2.85, 2 Co 3.01
Ru 0.5000 0.0000 0.5000  4 Sc 2.68

Here is crystalline Sc2CoRu at its relaxed geometry from Alexandria via LeMat-Bulk. Energies are from GGA-PBE.

Results
Energy above the most stable polymorph in this dataset = 0.0 meV/atom
DOS(E_F) = 2.71 states/eV/f.u.
Space-group type = No. 225

a = 6.3319 Å, b = 6.3319 Å, c = 6.3319 Å
α = 90.00°, β = 90.00°, γ = 90.00°
Closest atoms and distances in Å follow each position.
Element x y z (fractional)
Sc 0.2500 0.2500 0.2500  4 Co 2.74, 4 Ru 2.74
Sc 0.2500 0.2500 0.7500  4 Co 2.74, 4 Ru 2.74
Sc 0.2500 0.7500 0.2500  4 Co 2.74, 4 Ru 2.74
Sc 0.2500 0.7500 0.7500  4 Ru 2.74, 4 Co 2.74
Sc 0.7500 0.2500 0.2500  4 Co 2.74, 4 Ru 2.74
Sc 0.7500 0.2500 0.7500  4 Ru 2.74, 4 Co 2.74
Sc 0.7500 0.7500 0.2500  4 Co 2.74, 4 Ru 2.74
Sc 0.7500 0.7500 0.7500  4 Co 2.74, 4 Ru 2.74
Co 0.0000 0.0000 0.0000  8 Sc 2.74
Co 0.0000 0.5000 0.5000  8 Sc 2.74
Co 0.5000 0.0000 0.5000  8 Sc 2.74
Co 0.5000 0.5000 0.0000  8 Sc 2.74
Ru 0.0000 0.0000 0.5000  8 Sc 2.74
Ru 0.0000 0.5000 0.0000  8 Sc 2.74
Ru 0.5000 0.0000 0.0000  8 Sc 2.74
Ru 0.5000 0.5000 0.5000  8 Sc 2.74

Here is crystalline Sc4CoRu2 at its relaxed geometry from Alexandria via LeMat-Bulk. Energies are from GGA-PBE.

Results
DOS(E_F) = 5.83 states/eV/f.u.
Space-group type = No. 166
Total DFT energy (no corrections) = -7.649 eV/atom

a = 7.6831 Å, b = 7.6831 Å, c = 7.6831 Å
α = 34.19°, β = 34.19°, γ = 34.19°
Closest atoms and distances in Å follow each position.
Element x y z (fractional)
Sc 0.1237 0.1237 0.1237  4 Ru 2.69-2.73, 3 Co 2.77
Sc 0.3744 0.3744 0.3744  1 Co 2.72, 4 Ru 2.75-2.78
Sc 0.6256 0.6256 0.6256  1 Co 2.72, 4 Ru 2.75-2.78
Sc 0.8763 0.8763 0.8763  4 Ru 2.69-2.73, 3 Co 2.77
Co 0.5000 0.5000 0.5000  8 Sc 2.72-2.77
Ru 0.2476 0.2476 0.2476  8 Sc 2.69-2.78
Ru 0.7524 0.7524 0.7524  8 Sc 2.69-2.78

Here is crystalline Sc2CoRu at its relaxed geometry from Alexandria via LeMat-Bulk. Energies are from GGA-PBE.

Results
Energy above the most stable polymorph in this dataset = 386.9 meV/atom
DOS(E_F) = 4.67 states/eV/f.u.
Space-group type = No. 166

a = 3.1257 Å, b = 3.1257 Å, c = 23.6384 Å
α = 90.00°, β = 90.00°, γ = 120.00°
Closest atoms and distances in Å follow each position.
Element x y z (fractional)
Sc 0.0000 0.0000 0.2483  3 Co 2.64, 3 Ru 2.70
Sc 0.0000 0.0000 0.7517  3 Co 2.64, 3 Ru 2.70
Sc 0.3333 0.6667 0.4184  3 Co 2.64, 3 Ru 2.70
Sc 0.3333 0.6667 0.9149  3 Co 2.64, 3 Ru 2.70
Sc 0.6667 0.3333 0.0851  3 Co 2.64, 3 Ru 2.70
Sc 0.6667 0.3333 0.5816  3 Co 2.64, 3 Ru 2.70
Co 0.0000 0.0000 0.5000  6 Sc 2.64
Co 0.3333 0.6667 0.1667  6 Sc 2.64
Co 0.6667 0.3333 0.8333  6 Sc 2.64
Ru 0.0000 0.0000 0.0000  6 Sc 2.70
Ru 0.3333 0.6667 0.6667  6 Sc 2.70
Ru 0.6667 0.3333 0.3333  6 Sc 2.70

Here is crystalline Sc2CoRu at its relaxed geometry from Alexandria via LeMat-Bulk. Energies are from GGA-PBE.

Results
Energy above the most stable polymorph in this dataset = 4.0 meV/atom
DOS(E_F) = 2.11 states/eV/f.u.
Space-group type = No. 123

a = 4.4759 Å, b = 4.4759 Å, c = 3.1727 Å
α = 90.00°, β = 90.00°, γ = 90.00°
Closest atoms and distances in Å follow each position.
Element x y z (fractional)
Sc 0.0000 0.5000 0.0000  4 Co 2.74, 4 Ru 2.74
Sc 0.5000 0.0000 0.0000  4 Co 2.74, 4 Ru 2.74
Co 0.0000 0.0000 0.5000  8 Sc 2.74
Ru 0.5000 0.5000 0.5000  8 Sc 2.74

Here is crystalline Sc2CoRu3 at its relaxed geometry from Alexandria via LeMat-Bulk. Energies are from GGA-PBE.

Results
DOS(E_F) = 5.78 states/eV/f.u.
Space-group type = No. 166
Total DFT energy (no corrections) = -8.298 eV/atom

a = 5.0853 Å, b = 5.0853 Å, c = 5.0853 Å
α = 60.76°, β = 60.76°, γ = 60.76°
Closest atoms and distances in Å follow each position.
Element x y z (fractional)
Sc 0.1248 0.1248 0.1248  9 Ru 2.98-3.00, 3 Co 3.01, 4 Sc 3.09-3.15
Sc 0.8752 0.8752 0.8752  9 Ru 2.98-3.00, 3 Co 3.01, 4 Sc 3.09-3.15
Co 0.5000 0.5000 0.5000  6 Ru 2.54
Ru 0.0000 0.5000 0.5000  2 Co 2.54, 4 Ru 2.57
Ru 0.5000 0.0000 0.5000  2 Co 2.54, 4 Ru 2.57
Ru 0.5000 0.5000 0.0000  2 Co 2.54, 4 Ru 2.57

Here is crystalline Sc6Co5Ru at its relaxed geometry from Alexandria via LeMat-Bulk. Energies are from GGA-PBE.

Results
DOS(E_F) = 4.65 states/eV/f.u.
Space-group type = No. 71
Total DFT energy (no corrections) = -7.299 eV/atom

a = 7.6723 Å, b = 7.6723 Å, c = 7.6723 Å
α = 146.38°, β = 131.82°, γ = 60.03°
Closest atoms and distances in Å follow each position.
Element x y z (fractional)
Sc 0.0811 0.3324 0.7487  7 Co 2.70-2.72, 1 Ru 2.73
Sc 0.2475 0.0000 0.2475  6 Co 2.71-2.72, 2 Ru 2.72
Sc 0.4164 0.6676 0.7487  7 Co 2.70-2.72, 1 Ru 2.73
Sc 0.5836 0.3324 0.2513  7 Co 2.70-2.72, 1 Ru 2.73
Sc 0.7525 0.0000 0.7525  6 Co 2.71-2.72, 2 Ru 2.72
Sc 0.9189 0.6676 0.2513  7 Co 2.70-2.72, 1 Ru 2.73
Co 0.0000 0.5000 0.5000  8 Sc 2.71-2.72
Co 0.1673 0.1673 0.0000  8 Sc 2.70-2.71
Co 0.3332 0.8332 0.5000  8 Sc 2.70-2.72
Co 0.6668 0.1668 0.5000  8 Sc 2.70-2.72
Co 0.8327 0.8327 0.0000  8 Sc 2.70-2.71
Ru 0.5000 0.5000 0.0000  8 Sc 2.72-2.73

Here is crystalline Sc2CoRu at its relaxed geometry from Alexandria via LeMat-Bulk. Energies are from GGA-PBE.

Results
Energy above the most stable polymorph in this dataset = 648.7 meV/atom
DOS(E_F) = 3.77 states/eV/f.u.
Space-group type = No. 166

a = 3.0467 Å, b = 3.0467 Å, c = 26.0581 Å
α = 90.00°, β = 90.00°, γ = 120.00°
Closest atoms and distances in Å follow each position.
Element x y z (fractional)
Sc 0.0000 0.0000 0.0892  1 Co 2.32
Sc 0.0000 0.0000 0.9108  1 Co 2.32
Sc 0.3333 0.6667 0.5774  1 Co 2.32
Sc 0.3333 0.6667 0.7559  1 Co 2.32
Sc 0.6667 0.3333 0.2441  1 Co 2.32
Sc 0.6667 0.3333 0.4226  1 Co 2.32
Co 0.0000 0.0000 0.0000  2 Sc 2.32
Co 0.3333 0.6667 0.6667  2 Sc 2.32
Co 0.6667 0.3333 0.3333  2 Sc 2.32
Ru 0.0000 0.0000 0.5000  6 Sc 2.68
Ru 0.3333 0.6667 0.1667  6 Sc 2.68
Ru 0.6667 0.3333 0.8333  6 Sc 2.68